# 1
DFT (PBE) results for ScVFe4 after structural relaxation.

Output
Symmetry: F-43m
Formation energy from the elements (eV/atom): -0.145

Structure (extended XYZ):
```
6
Lattice="4.828 0.000 0.000 2.414 4.181 0.000 2.414 1.394 3.942" Properties=species:S:1:pos:R:3 pbc="T T T"
V 0.000 0.000 0.000
Fe 4.828 1.388 2.465
Fe 3.616 3.487 2.465
Sc 2.414 1.394 0.985
Fe 6.039 3.487 2.465
Fe 4.828 2.787 0.487
```


# 2
DFT (PBE) results for ScVFe after structural relaxation.

Output
Symmetry: I4mm
Formation energy from the elements (eV/atom): -0.001

Structure (extended XYZ):
```
3
Lattice="2.993 0.000 0.000 0.000 2.993 0.000 -1.496 -1.496 4.951" Properties=species:S:1:pos:R:3 pbc="T T T"
V 0.000 0.000 3.054
Sc 0.000 0.000 0.050
Fe 1.496 1.496 1.846
```


# 3
DFT (PBE) results for ScVFe3 after structural relaxation.

Output
Symmetry: Pm-3m
Formation energy from the elements (eV/atom): 0.598

Structure (extended XYZ):
```
5
Lattice="-0.204 3.977 1.449 -0.738 -1.461 3.908 4.168 -0.064 0.763" Properties=species:S:1:pos:R:3 pbc="T T T"
Fe -0.369 -0.731 1.954
Fe 2.084 -0.032 0.381
Sc 1.613 1.226 3.060
V 0.000 0.000 0.000
Fe -0.102 1.988 0.724
```


# 4
DFT (PBE) results for ScVFe after structural relaxation.

Output
Symmetry: Fmmm
Formation energy from the elements (eV/atom): 0.027

Structure (extended XYZ):
```
6
Lattice="-0.989 0.410 -4.579 -3.445 -2.253 2.274 0.179 4.835 1.943" Properties=species:S:1:pos:R:3 pbc="T T T"
Sc -2.660 -1.401 0.083
Fe -2.741 0.830 1.532
Fe -1.513 2.162 -1.894
Sc -1.774 -0.441 -2.388
V -3.518 1.578 -0.647
V -0.736 1.414 0.286
```